[1]
28
Lattice="9.1092 0.0000 0.0000 0.0000 5.7464 0.0000 0.0000 0.0000 11.5073" Properties=species:S:1:pos:R:3 comment="PBE-GGA LaAg5Hg, optimized geometry" dft_energy_ev_per_atom=-2.95 magnetic_moment_mub_per_fu=0.00 pbc="T T T"
La 2.1957 1.4366 0.7585
La 2.3589 4.3098 6.5121
La 6.7504 1.4366 4.9952
La 6.9135 4.3098 10.7488
Ag 0.6007 0.0355 3.5715
Ag 0.6007 2.8377 3.5715
Ag 0.6120 4.3098 1.0783
Ag 0.8839 1.4366 5.9700
Ag 1.6686 1.4366 8.7176
Ag 2.8860 4.3098 2.9639
Ag 3.6708 4.3098 0.2163
Ag 3.9426 1.4366 6.8319
Ag 3.9539 2.9087 9.3252
Ag 3.9539 5.7110 9.3252
Ag 5.1553 0.0355 2.1821
Ag 5.1553 2.8377 2.1821
Ag 5.1666 4.3098 4.6754
Ag 5.4385 1.4366 11.2910
Ag 6.2232 1.4366 8.5434
Ag 7.4406 4.3098 2.7897
Ag 8.2254 4.3098 5.5373
Ag 8.4972 1.4366 10.4290
Ag 8.5086 2.9087 7.9358
Ag 8.5086 5.7110 7.9358
Hg 1.2523 4.3098 9.8500
Hg 3.3023 1.4366 4.0964
Hg 5.8069 4.3098 7.4109
Hg 7.8569 1.4366 1.6573

[2]
13
Lattice="-2.8257 5.1441 5.0090 2.8257 -5.1441 5.0090 2.8257 5.1441 -5.0090" Properties=species:S:1:pos:R:3 comment="PBE-GGA LaAg5Hg7, optimized geometry" dft_energy_ev_per_atom=-1.71 magnetic_moment_mub_per_fu=0.00 pbc="T T T"
La 0.0000 0.0000 0.0000
Ag 1.4149 2.5892 -2.4594
Ag 1.4107 -2.5548 2.5496
Ag 2.8257 0.0000 2.4245
Ag 1.4149 7.6989 -2.4594
Ag 1.4107 2.5548 2.5496
Hg 2.8257 1.8702 0.0844
Hg 0.0000 3.4333 0.0009
Hg 0.0000 0.0000 3.4013
Hg 0.0000 0.0000 6.4378
Hg 0.0000 6.8548 0.0009
Hg 0.0000 5.1441 2.6532
Hg 0.0000 3.2739 5.0934

[3]
12
Lattice="2.5725 -8.1549 0.0000 2.5725 8.1549 0.0000 0.0000 0.0000 7.2278" Properties=species:S:1:pos:R:3 comment="PBE-GGA LaAgHg4, optimized geometry" dft_energy_ev_per_atom=-1.74 magnetic_moment_mub_per_fu=0.00 pbc="T T T"
La 2.5725 5.3885 3.6139
La 2.5725 -5.3885 0.0000
Ag 2.5725 2.5295 2.1387
Ag 2.5725 -2.5295 5.7525
Hg 2.5725 7.7467 6.0367
Hg 2.5725 4.8576 7.1909
Hg 2.5725 2.4208 5.0885
Hg 2.5725 0.4102 0.2139
Hg 2.5725 -0.4102 3.8278
Hg 2.5725 -2.4208 1.4746
Hg 2.5725 -4.8576 3.5770
Hg 2.5725 -7.7467 2.4228

[4]
12
Lattice="7.6886 -2.1824 0.0000 7.6886 2.1824 0.0000 -5.0643 0.0000 8.1952" Properties=species:S:1:pos:R:3 comment="PBE-GGA LaAg3Hg2, optimized geometry" dft_energy_ev_per_atom=-2.53 magnetic_moment_mub_per_fu=0.00 pbc="T T T"
La -0.6465 0.0000 3.9184
La 10.9593 0.0000 4.2768
Ag -3.6501 0.0000 7.6426
Ag -0.6824 0.0000 7.4362
Ag 2.2776 0.0000 6.7888
Ag 8.0353 0.0000 1.4064
Ag 10.9952 0.0000 0.7590
Ag 13.9630 0.0000 0.5526
Hg 2.0504 0.0000 2.2935
Hg 5.1362 0.0000 2.2514
Hg 5.1766 0.0000 5.9438
Hg 8.2624 0.0000 5.9017

[5]
12
Lattice="2.7733 -12.7387 0.0000 2.7733 12.7387 0.0000 0.0000 0.0000 5.4995" Properties=species:S:1:pos:R:3 comment="PBE-GGA La7Ag2Hg3, optimized geometry" dft_energy_ev_per_atom=-3.52 magnetic_moment_mub_per_fu=0.00 pbc="T T T"
La 0.0000 0.0000 0.0000
La 2.7733 10.2718 2.7497
La 2.7733 5.6080 0.0000
La 2.7733 2.0738 0.0000
La 2.7733 -2.0738 0.0000
La 2.7733 -5.6080 0.0000
La 2.7733 -10.2718 2.7497
Ag 2.7733 8.8428 0.0000
Ag 2.7733 -8.8428 0.0000
Hg 2.7733 4.0701 2.7497
Hg 2.7733 0.0000 2.7497
Hg 2.7733 -4.0701 2.7497

[6]
5
Lattice="5.2556 0.0000 0.0000 0.0000 5.2556 0.0000 0.0000 0.0000 5.2556" Properties=species:S:1:pos:R:3 comment="PBE-GGA LaAgHg3, optimized geometry" dft_energy_ev_per_atom=-1.71 magnetic_moment_mub_per_fu=0.00 pbc="T T T"
La 0.0000 0.0000 0.0000
Ag 2.6278 2.6278 2.6278
Hg 0.0000 2.6278 2.6278
Hg 2.6278 0.0000 2.6278
Hg 2.6278 2.6278 0.0000

[7]
8
Lattice="5.0564 0.0000 0.0000 0.0000 3.6635 5.5602 0.0000 -3.6635 5.5602" Properties=species:S:1:pos:R:3 comment="PBE-GGA LaAgHg6, optimized geometry" dft_energy_ev_per_atom=-1.35 magnetic_moment_mub_per_fu=0.00 pbc="T T T"
La 0.0000 0.0000 0.0000
Ag 2.5282 0.0000 2.4124
Hg 0.0000 -1.6289 2.9348
Hg 0.0000 1.6289 2.9348
Hg 0.0000 0.0000 5.7287
Hg 2.5282 -1.5839 5.8235
Hg 2.5282 1.5839 5.8235
Hg 2.5282 0.0000 8.8409

[8]
18
Lattice="9.3038 0.0000 0.0000 -4.6519 8.0573 0.0000 0.0000 0.0000 6.5590" Properties=species:S:1:pos:R:3 comment="PBE-GGA La3AgHg5, optimized geometry" dft_energy_ev_per_atom=-2.56 magnetic_moment_mub_per_fu=0.00 pbc="T T T"
La -1.6769 2.9046 1.6397
La -2.9749 5.1528 4.9192
La 3.3539 0.0000 1.6397
La 1.6769 2.9046 4.9192
La 5.9499 0.0000 4.9192
La 2.9749 5.1528 1.6397
Ag 0.0000 0.0000 0.0000
Ag 0.0000 0.0000 3.2795
Hg -1.3829 2.3952 4.9192
Hg -3.2690 5.6621 1.6397
Hg 2.7657 0.0000 4.9192
Hg 1.3829 2.3952 1.6397
Hg 0.0000 5.3715 0.0000
Hg 0.0000 5.3715 3.2795
Hg 4.6519 2.6858 0.0000
Hg 4.6519 2.6858 3.2795
Hg 6.5380 0.0000 1.6397
Hg 3.2690 5.6621 4.9192

[9]
6
Lattice="-2.0972 2.1144 9.1361 2.0972 -2.1144 9.1361 2.0972 2.1144 -9.1361" Properties=species:S:1:pos:R:3 comment="PBE-GGA La2Ag3Hg, optimized geometry" dft_energy_ev_per_atom=-3.39 magnetic_moment_mub_per_fu=0.00 pbc="T T T"
La 0.0000 0.0000 0.0000
La 0.0000 2.1144 4.3583
Ag 2.0972 0.0000 3.0088
Ag 2.0972 0.0000 5.7625
Ag 0.0000 0.0000 10.4432
Hg 0.0000 0.0000 7.5682

[10]
7
Lattice="5.7628 -2.0314 0.0000 5.7628 2.0314 0.0000 -0.4209 0.0000 7.5598" Properties=species:S:1:pos:R:3 comment="PBE-GGA La2Ag3Hg2, optimized geometry" dft_energy_ev_per_atom=-2.98 magnetic_moment_mub_per_fu=0.00 pbc="T T T"
La 1.2836 0.0000 2.2986
La 9.8212 0.0000 5.2612
Ag 1.7725 0.0000 6.7548
Ag 5.7628 0.0000 0.0000
Ag 9.3323 0.0000 0.8051
Hg 4.4442 0.0000 2.6813
Hg 6.6606 0.0000 4.8785

[11]
11
Lattice="8.3812 -2.7985 0.0000 8.3812 2.7985 0.0000 -4.5881 0.0000 7.6003" Properties=species:S:1:pos:R:3 comment="PBE-GGA La8Ag2Hg, optimized geometry" dft_energy_ev_per_atom=-4.29 magnetic_moment_mub_per_fu=0.00 pbc="T T T"
La 0.2095 0.0000 1.6993
La -0.8510 0.0000 5.3129
La 2.8495 0.0000 4.1096
La 6.5704 0.0000 0.3702
La 5.6038 0.0000 7.2300
La 9.3247 0.0000 3.4907
La 13.0252 0.0000 2.2874
La 11.9647 0.0000 5.9010
Ag 3.2803 0.0000 0.8782
Ag 8.8939 0.0000 6.7221
Hg 6.0871 0.0000 3.8001

[12]
16
Lattice="2.2634 -8.5649 0.0000 2.2634 8.5649 0.0000 0.0000 0.0000 10.0981" Properties=species:S:1:pos:R:3 comment="PBE-GGA La2Ag5Hg, optimized geometry" dft_energy_ev_per_atom=-3.28 magnetic_moment_mub_per_fu=0.00 pbc="T T T"
La 0.0000 0.0000 0.0000
La 0.0000 0.0000 5.0491
La 2.2634 5.1497 7.5736
La 2.2634 -5.1497 2.5245
Ag 2.2634 5.3426 1.1282
Ag 2.2634 5.3426 3.9208
Ag 2.2634 2.5460 0.2633
Ag 2.2634 2.5460 4.7858
Ag 2.2634 1.8881 7.5736
Ag 2.2634 -1.8881 2.5245
Ag 2.2634 -2.5460 5.3124
Ag 2.2634 -2.5460 9.8348
Ag 2.2634 -5.3426 6.1773
Ag 2.2634 -5.3426 8.9699
Hg 2.2634 0.8719 2.5245
Hg 2.2634 -0.8719 7.5736

[13]
5
Lattice="-2.0828 2.0828 8.6917 2.0828 -2.0828 8.6917 2.0828 2.0828 -8.6917" Properties=species:S:1:pos:R:3 comment="PBE-GGA La2AgHg2, optimized geometry" dft_energy_ev_per_atom=-2.80 magnetic_moment_mub_per_fu=0.00 pbc="T T T"
La 0.0000 0.0000 1.7210
La 0.0000 0.0000 15.6625
Ag 0.0000 0.0000 8.6917
Hg 2.0828 0.0000 4.3459
Hg 0.0000 2.0828 4.3459

[14]
11
Lattice="-2.9026 4.7687 4.8557 2.9026 -4.7687 4.8557 2.9026 4.7687 -4.8557" Properties=species:S:1:pos:R:3 comment="PBE-GGA La2Ag5Hg4, optimized geometry" dft_energy_ev_per_atom=-2.46 magnetic_moment_mub_per_fu=0.00 pbc="T T T"
La 0.0000 0.0000 2.3080
La 0.0000 0.0000 7.4034
Ag 2.9026 0.0000 0.0000
Ag 1.4668 2.6317 0.0000
Ag 1.4358 -2.1370 4.8557
Ag 1.4668 6.9058 0.0000
Ag 1.4358 2.1370 4.8557
Hg 2.9026 -1.5457 2.4418
Hg 2.9026 1.5457 2.4418
Hg 0.0000 3.2230 2.4139
Hg 0.0000 6.3144 2.4139

[15]
16
Lattice="6.8514 0.0000 0.0000 0.0000 13.3497 0.0000 0.0000 0.0000 5.4508" Properties=species:S:1:pos:R:3 comment="PBE-GGA La5AgHg2, optimized geometry" dft_energy_ev_per_atom=-3.80 magnetic_moment_mub_per_fu=0.00 pbc="T T T"
La 0.0000 0.0000 0.0000
La 1.0273 3.7521 0.0000
La 1.0657 8.1465 2.7254
La 2.3600 1.4716 2.7254
La 2.3984 10.4269 0.0000
La 3.4257 6.6748 0.0000
La 4.4530 2.9228 0.0000
La 4.4914 11.8780 2.7254
La 5.7857 5.2032 2.7254
La 5.8240 9.5976 0.0000
Ag 0.0000 6.6748 0.0000
Ag 3.4257 0.0000 0.0000
Hg 0.8685 11.4940 2.7254
Hg 2.5572 4.8192 2.7254
Hg 4.2942 8.5305 2.7254
Hg 5.9829 1.8556 2.7254

[16]
9
Lattice="5.1757 0.0000 0.0000 -2.5854 4.4900 0.0000 -0.1467 -1.0594 9.4329" Properties=species:S:1:pos:R:3 comment="PBE-GGA La2Ag3Hg4, optimized geometry" dft_energy_ev_per_atom=-2.49 magnetic_moment_mub_per_fu=0.00 pbc="T T T"
La -0.0554 0.9917 2.4754
La 2.4990 2.4389 6.9575
Ag -0.1070 0.8981 8.6518
Ag 2.5145 -0.5297 4.7165
Ag 2.5507 2.5325 0.7811
Hg -0.0845 0.9585 5.6485
Hg -0.0602 3.9684 1.3929
Hg 2.5039 -0.5377 8.0400
Hg 2.5281 2.4721 3.7844

[17]
6
Lattice="0.0000 4.5620 4.5620 4.5620 0.0000 4.5620 4.5620 4.5620 0.0000" Properties=species:S:1:pos:R:3 comment="PBE-GGA La4AgHg, optimized geometry" dft_energy_ev_per_atom=-3.54 magnetic_moment_mub_per_fu=0.00 pbc="T T T"
La 3.4266 3.4266 3.4266
La 5.6975 5.6975 3.4266
La 5.6975 3.4266 5.6975
La 3.4266 5.6975 5.6975
Ag 0.0000 0.0000 0.0000
Hg 6.8431 6.8431 6.8431

[18]
10
Lattice="5.6422 -2.4241 0.0000 5.6422 2.4241 0.0000 -4.3801 0.0000 10.2765" Properties=species:S:1:pos:R:3 comment="PBE-GGA La2AgHg2, optimized geometry" dft_energy_ev_per_atom=-3.06 magnetic_moment_mub_per_fu=0.00 pbc="T T T"
La -1.1982 0.0000 3.5607
La 1.5536 0.0000 1.0858
La 5.3507 0.0000 9.1907
La 8.1025 0.0000 6.7158
Ag 0.1928 0.0000 6.8804
Ag 6.7115 0.0000 3.3961
Hg 2.1908 0.0000 4.3406
Hg 4.7364 0.0000 1.2394
Hg 2.1680 0.0000 9.0371
Hg 4.7136 0.0000 5.9359

[19]
5
Lattice="5.9398 0.0000 0.0000 0.0000 5.9398 0.0000 0.0000 0.0000 5.9398" Properties=species:S:1:pos:R:3 comment="PBE-GGA LaAg3Hg, optimized geometry" dft_energy_ev_per_atom=-1.98 magnetic_moment_mub_per_fu=0.00 pbc="T T T"
La 0.0000 0.0000 0.0000
Ag 0.0000 0.0000 2.9699
Ag 0.0000 2.9699 0.0000
Ag 2.9699 0.0000 0.0000
Hg 2.9699 2.9699 2.9699

[20]
19
Lattice="4.9052 2.8320 4.7654 -4.9052 2.8320 4.7654 0.0000 -5.6640 4.7654" Properties=species:S:1:pos:R:3 comment="PBE-GGA La2Ag15Hg2, optimized geometry" dft_energy_ev_per_atom=-2.90 magnetic_moment_mub_per_fu=0.00 pbc="T T T"
La 0.0000 0.0000 2.1815
La 0.0000 0.0000 12.1146
Ag -2.4526 -1.4160 4.7654
Ag 0.0000 -2.8996 4.5760
Ag -2.5111 1.4498 4.5760
Ag -1.5078 -2.6116 7.1481
Ag -3.0157 0.0000 7.1481
Ag -2.5111 -1.4498 9.7201
Ag -2.4526 1.4160 9.5308
Ag 1.5078 -2.6116 7.1481
Ag 0.0000 2.8320 4.7654
Ag -1.5078 2.6116 7.1481
Ag 2.5111 1.4498 4.5760
Ag 3.0157 0.0000 7.1481
Ag 1.5078 2.6116 7.1481
Ag 2.5111 -1.4498 9.7201
Ag 0.0000 2.8996 9.7201
Hg 0.0000 0.0000 5.6337
Hg 0.0000 0.0000 8.6624

[21]
5
Lattice="5.1887 0.0000 0.0000 0.0000 5.1887 0.0000 0.0000 0.0000 5.1887" Properties=species:S:1:pos:R:3 comment="PBE-GGA LaAg3Hg, optimized geometry" dft_energy_ev_per_atom=-2.52 magnetic_moment_mub_per_fu=0.00 pbc="T T T"
La 0.0000 0.0000 0.0000
Ag 0.0000 2.5943 2.5943
Ag 2.5943 0.0000 2.5943
Ag 2.5943 2.5943 0.0000
Hg 2.5943 2.5943 2.5943